(1)
VASP calculation (PBE) on an optimized crystal structure of V2HgMo.

Unit cell a=7.0625 b=7.0625 c=5.5166 alpha=90.00 beta=90.00 gamma=90.00
With the nearest neighbours (Å) after each atom.
Space group I-42d (No. 122)
Asymmetric unit:
1 V 0.2182 0.2500 0.1250 x8  2 Mo 2.44
2 Hg 0.0000 0.0000 0.5000 x4  4 V 2.75, 2 Mo 2.76
3 Mo 0.0000 0.0000 0.0000 x4  4 V 2.44

Computed properties:
Energy of formation, eV/atom: 0.767
DOS(E_F), states/eV/f.u.: 4.9

(2)
VASP calculation (PBE) on an optimized crystal structure of LaDy3ErTh.

Unit cell a=8.0083 b=5.0670 c=10.1644 alpha=90.00 beta=108.97 gamma=90.00
With the nearest neighbours (Å) after each atom.
Space group P2_1/m (No. 11)
Asymmetric unit:
1 La 0.1699 0.2500 0.2927 x2  3 Er 3.57, 8 Dy 3.60-3.65, 1 Th 3.62
2 Dy 0.1709 0.7500 0.5451 x2  1 Th 3.55, 3 Er 3.55-3.63, 5 Dy 3.57-3.66, 3 La 3.60-3.62
3 Dy 0.1768 0.7500 0.0426 x2  3 Th 3.50-3.53, 1 Er 3.50, 5 Dy 3.58-3.73, 3 La 3.60-3.63
4 Dy 0.1778 0.2500 0.7939 x2  3 Th 3.49-3.51, 1 Er 3.50, 6 Dy 3.57-3.73, 2 La 3.65
5 Er 0.4986 0.2500 0.6288 x2  5 Dy 3.50-3.63, 3 La 3.57, 2 Th 3.59, 2 Er 3.65
6 Th 0.4983 0.7500 0.8783 x2  7 Dy 3.49-3.55, 2 Th 3.54, 2 Er 3.59, 1 La 3.62

Computed properties:
Energy of formation, eV/atom: 0.036
DOS(E_F), states/eV/f.u.: 9.7